## HgH5Pd4 (GGA-PBE)

Data for crystalline HgH5Pd4 at its relaxed geometry.

Computed properties:
E above lowest polymorph (meV/atom): 0
Symmetry: Pmmn (59)

Structure (POSCAR):
```
HgH5Pd4
1.0
4.823 0.000 0.000
0.000 5.721 0.000
0.000 0.000 9.437
Hg Pd H
2 8 10
Direct
0.853 0.500 0.500
0.147 0.000 0.000
0.656 0.754 0.000
0.344 0.254 0.500
0.509 0.000 0.746
0.656 0.246 0.000
0.491 0.500 0.754
0.509 0.000 0.254
0.344 0.746 0.500
0.491 0.500 0.246
0.298 0.245 0.686
0.702 0.745 0.186
0.456 0.500 0.000
0.298 0.245 0.314
0.702 0.255 0.814
0.298 0.755 0.314
0.702 0.745 0.814
0.298 0.755 0.686
0.544 0.000 0.500
0.702 0.255 0.186
```


## TlSnPb2Br (GGA-PBE)

Data for crystalline TlSnPb2Br at its relaxed geometry.

Computed properties:
Formation energy without anion corrections (eV/atom): -0.182
E above lowest polymorph (meV/atom): 37
Symmetry: P3m1 (156)

Structure (POSCAR):
```
TlSnPb2Br
1.0
4.690 0.000 0.000
-2.345 4.062 0.000
0.000 0.000 9.428
Tl Pb Br Sn
1 2 1 1
Direct
0.333 0.667 0.830
0.000 0.000 0.090
0.667 0.333 0.406
0.000 0.000 0.633
0.333 0.667 0.242
```


## LaAl4PtRh2 (GGA-PBE)

Data for crystalline LaAl4PtRh2 at its relaxed geometry.

Computed properties:
Formation energy from the elements (eV per atom): -0.8723
Symmetry: R-3m (166)

Structure (POSCAR):
```
LaAl4PtRh2
1.0
4.245 0.000 0.000
2.123 3.677 0.000
2.123 1.226 9.177
Al La Rh Pt
4 1 2 1
Direct
0.407 0.407 0.780
0.593 0.593 0.220
0.131 0.131 0.607
0.869 0.869 0.393
0.000 0.000 0.000
0.771 0.771 0.686
0.229 0.229 0.314
0.500 0.500 0.500
```


## MnBe3Hg (GGA-PBE)

Data for crystalline MnBe3Hg at its relaxed geometry.

Computed properties:
E above lowest polymorph (meV/atom): 120
Formation energy from the elements (eV per atom): 1.0995
Symmetry: Pm-3m (221)

Structure (POSCAR):
```
MnBe3Hg
1.0
-2.794 1.843 -2.845
-3.210 -2.625 1.452
-1.091 3.002 3.016
Hg Mn Be
1 1 3
Direct
0.000 0.000 0.000
0.500 0.500 0.500
0.000 0.000 0.500
0.000 0.500 0.000
0.500 0.000 0.000
```


## GdMgSnPb (GGA-PBE)

Data for crystalline GdMgSnPb at its relaxed geometry.

Computed properties:
Formation energy from the elements (eV per atom): -0.2971
Symmetry: F-43m (216)

Structure (POSCAR):
```
GdMgSnPb
1.0
5.335 0.000 0.000
2.668 4.620 0.000
2.668 1.540 4.356
Pb Mg Sn Gd
1 1 1 1
Direct
0.000 0.000 0.000
0.750 0.750 0.750
0.500 0.500 0.500
0.250 0.250 0.250
```


## Pm4Cu2H (GGA-PBE)

Data for crystalline Pm4Cu2H at its relaxed geometry.

Computed properties:
Symmetry: I4/mmm (139)

Structure (POSCAR):
```
Pm4Cu2H
1.0
4.791 0.000 0.000
0.000 4.791 0.000
-2.396 -2.396 7.220
Cu Pm H
2 4 1
Direct
0.620 0.620 0.240
0.380 0.380 0.760
0.000 0.500 0.000
0.500 0.000 0.000
0.808 0.808 0.616
0.192 0.192 0.384
0.000 0.000 0.000
```


## Ba2GaCu6Pt (GGA-PBE)

Data for crystalline Ba2GaCu6Pt at its relaxed geometry.

Computed properties:
Formation energy from the elements (eV per atom): -0.1815
Symmetry: C2/m (12)

Structure (POSCAR):
```
Ba2GaCu6Pt
1.0
-1.043 4.576 4.344
-5.672 1.916 -3.381
-5.450 0.108 3.290
Ba Cu Ga Pt
2 6 1 1
Direct
0.791 0.372 0.418
0.209 0.628 0.582
0.249 0.137 0.502
0.638 0.135 0.113
0.751 0.863 0.498
0.751 0.865 0.887
0.249 0.135 0.113
0.362 0.865 0.887
0.000 0.000 0.000
0.500 0.500 0.000
```


## LiFe2Co (GGA-PBE)

Data for crystalline LiFe2Co at its relaxed geometry.

Computed properties:
E above lowest polymorph (meV/atom): 8
Formation energy from the elements (eV per atom): 0.1166
Symmetry: C2/m (12)

Structure (POSCAR):
```
LiFe2Co
1.0
-1.804 4.232 0.992
0.982 -2.859 3.699
1.994 1.063 0.843
Fe Co Li
2 1 1
Direct
0.500 0.000 0.500
0.000 0.000 0.000
0.500 0.500 0.000
0.000 0.500 0.500
```


no.,final energy (eV for the cell shown)
1,-76.3
2,-16.4
3,-47.6
4,-15.2
5,-24.6
6,-31.4
7,-39.3
8,-25.5